The following is a PBE calculation of a geometry-optimized TbHo2C structure, from Alexandria via LeMat-Bulk.

a b c (Å): 3.558 3.558 9.338
angles (deg): 79.02 79.02 60.00
Positions (direct):
C1 0.000 0.000 0.000
Ho1 0.716 0.716 0.852
Ho2 0.284 0.284 0.148
Tb1 0.500 0.500 0.500

Calculated values
As for the space-group type: R-3m. For the formation energy, the calculation gives -0.17 eV per atom. The density of states at the Fermi level is 4.0 states/eV/cell.

***

The following is a PBE calculation of a geometry-optimized PrTmAu6 structure, from Alexandria via LeMat-Bulk.

a b c (Å): 4.632 5.083 8.370
angles (deg): 83.27 73.94 62.89
Positions (direct):
Au1 0.746 0.622 0.886
Au2 0.245 0.865 0.645
Au3 0.254 0.378 0.114
Au4 0.755 0.135 0.355
Au5 0.491 0.769 0.249
Au6 0.509 0.231 0.751
Pr1 0.000 0.500 0.500
Tm1 0.000 0.000 0.000

Calculated values
As for the space-group type: C2/m. For the formation energy, the calculation gives -0.64 eV per atom. The density of states at the Fermi level is 3.1 states/eV/cell.

***

The following is a PBE calculation of a geometry-optimized CdPSe3 structure, from Alexandria via LeMat-Bulk.

a b c (Å): 4.876 4.876 4.876
angles (deg): 90.00 90.00 90.00
Positions (direct):
Se1 0.000 0.000 0.500
Se2 0.000 0.500 0.000
Se3 0.500 0.000 0.000
Cd1 0.500 0.500 0.500
P1 0.000 0.000 0.000

Calculated values
The formation energy (no corrections) is 138 kJ/mol of formula units. As for the space-group type: Pm-3m. The density of states at the Fermi level is 2.2 states/eV/cell.

***

The following is a PBE calculation of a geometry-optimized SmEuSi4 structure, from Alexandria via LeMat-Bulk.

a b c (Å): 5.416 5.416 5.416
angles (deg): 60.00 60.00 60.00
Site moments in Bohr magnetons follow the coordinates.
Positions (direct):
Sm1 0.250 0.250 0.250  0.15
Si1 0.623 0.132 0.623  -0.01
Si2 0.623 0.623 0.132  -0.01
Si3 0.132 0.623 0.623  -0.01
Si4 0.623 0.623 0.623  -0.01
Eu1 0.000 0.000 0.000  6.83

Calculated values
The formation energy (no corrections) is -178 kJ/mol of formula units. As for the space-group type: F-43m. The density of states at the Fermi level is 4.3 states/eV/cell.

***

The following is a PBE calculation of a geometry-optimized FeSeBr2 structure, from Alexandria via LeMat-Bulk.

a b c (Å): 5.087 5.087 3.357
angles (deg): 90.00 90.00 90.09
Site moments in Bohr magnetons follow the coordinates.
Positions (direct):
Br1 0.500 0.500 0.000  0.04
Br2 0.000 0.000 0.000  0.04
Fe1 0.500 0.000 0.500  3.21
Se1 0.000 0.500 0.500  0.01

Calculated values
The formation energy (no corrections) is 284 kJ/mol of formula units. As for the space-group type: Cmmm. The density of states at the Fermi level is 5.4 states/eV/cell.

***

The following is a PBE calculation of a geometry-optimized Sr4C structure, from Alexandria via LeMat-Bulk.

a b c (Å): 10.975 10.975 10.975
angles (deg): 156.66 156.66 33.24
Site moments in Bohr magnetons follow the coordinates.
Positions (direct):
Sr1 0.250 0.750 0.500  -0.05
Sr2 0.422 0.422 0.000  -0.01
Sr3 0.578 0.578 0.000  -0.01
Sr4 0.750 0.250 0.500  -0.05
C1 0.000 0.000 0.000  0.59

Calculated values
As for the space-group type: I4/mmm. For the formation energy, the calculation gives 1.31 eV per atom. The density of states at the Fermi level is 4.7 states/eV/cell.